No. 1
The following is a GGA-PBE calculation of an optimized crystal structure of Pr8Ge3CBr4, from the Alexandria database.

The formation energy from raw total energies is -1059 meV per atom.

The structure belongs to space group R-3m (No. 166, hexagonal axes); the cell edges are 8.4466, 8.4466 and 22.3578 Å and the angles 90.00°, 90.00° and 120.00°. The asymmetric unit holds Pr at (0.0000, 0.0000, 0.2384), Pr at (0.0288, 0.5144, 0.2332), Ge at (0.0000, 0.5000, 0.5000), C at (0.0000, 0.0000, 0.5000), Br at (0.0000, 0.0000, 0.0000) and Br at (0.0000, 0.5000, 0.0000).

***

No. 2
The following is a GGA-PBE calculation of an optimized crystal structure of CeSi2Tc, from the Alexandria database.

The formation energy from raw total energies is -461 meV per atom. For the energy above the most stable polymorph in this dataset, the calculation gives 209 meV/atom.

The structure belongs to space group P4/mmm (No. 123); the cell edges are 3.111, 3.111 and 6.993 Å and the angles 90.00°, 90.00° and 90.00°. The asymmetric unit holds Ce at (0.000, 0.000, 0.000), Si at (0.500, 0.500, 0.311) and Tc at (0.000, 0.000, 0.500).

***

No. 3
The following is a GGA-PBE calculation of an optimized crystal structure of Li2NbGa, from the Alexandria database.

The formation energy comes out at 0.17 eV per atom.

The structure belongs to space group R-3m (No. 166, hexagonal axes); the cell edges are 2.7993, 2.7993 and 30.8622 Å and the angles 90.00°, 90.00° and 120.00°. The asymmetric unit holds Li at (0.0000, 0.0000, 0.0912), Nb at (0.0000, 0.0000, 0.0000) and Ga at (0.0000, 0.0000, 0.5000).

***

No. 4
The following is a GGA-PBE calculation of an optimized crystal structure of MgGaAsO6, from the Alexandria database.

The formation energy from raw total energies is -1403 meV per atom.

The structure belongs to space group P-31c (No. 163); the cell edges are 5.0393, 5.0393 and 8.7077 Å and the angles 90.00°, 90.00° and 120.00°. The asymmetric unit holds Mg at (0.0000, 0.0000, 0.0000), Ga at (0.3333, 0.6667, 0.2500), As at (0.3333, 0.6667, 0.7500) and O at (0.0224, 0.3614, 0.6338).

***

Taking the records one at a time from the top gives calculated volume values of 1381.4, 67.7, 209.4, 191.5 Å³/cell.